Record 1
## Ca2MoP (PBE-GGA)

Data for an optimized crystal structure of Ca2MoP.

```
4
Lattice="3.831 0.000 0.000 0.000 3.774 0.007 0.000 3.759 6.086" Properties=species:S:1:pos:R:3 pbc="T T T"
Ca 0.000 3.759 5.967
Ca 0.000 3.767 3.166
Mo 1.915 1.883 1.523
P 1.915 5.650 4.570
```

Output
The value obtained for the formation energy from the elements is 0.19 eV/atom. For the mass density, the calculation gives 3.91 g/cm³. The size of the total moment is 3.0 μB/f.u.

---

Record 2
## EuHgAs (PBE-GGA)

Data for an optimized crystal structure of EuHgAs.

```
3
Lattice="4.548 0.000 0.000 0.000 4.520 0.000 0.000 -2.260 3.914" Properties=species:S:1:pos:R:3 pbc="T T T"
Eu 3.100 2.260 1.305
As 0.210 0.000 0.000
Hg 1.237 0.000 2.610
```

Output
The value obtained for the formation energy from the elements is -0.62 eV/atom. For the mass density, the calculation gives 8.82 g/cm³. The size of the total moment is 7.0 μB/f.u. The energy above the lowest structure with this stoichiometry is 0.0 meV per atom.

---

Number 2 is which compound? EuHgAs